Record 1
Crystalline MnHg2Rh at its relaxed geometry, computed with PBE.

Results
As for the energy relative to the lowest polymorph listed for this composition: 0 meV/atom. The raw total energy comes out at -16.77 eV for the cell shown. The volume comes out at 18.81 A^3/atom.

Unit cell a=3.092 b=3.104 c=7.959 alpha=90.00 beta=99.97 gamma=90.00
Space group Pm (No. 6)
One atom of each set of equivalent atoms:
1 Mn 0.000 0.000 0.000 x1
2 Hg 0.186 0.000 0.421 x1
3 Hg 0.391 0.500 0.755 x1
4 Rh 0.580 0.500 0.178 x1

Record 2
Crystalline Ba2ZnBr at its relaxed geometry, computed with PBE.

Results
As for the energy relative to the lowest polymorph listed for this composition: 109 meV/atom. The raw total energy comes out at -19.81 eV for the cell shown. The uncorrected formation energy is -0.778 eV/atom. The volume comes out at 37.62 A^3/atom.

Unit cell a=5.483 b=4.175 c=13.151 alpha=90.00 beta=90.00 gamma=90.00
Space group Amm2 (No. 38)
One atom of each set of equivalent atoms:
1 Ba 0.000 0.000 0.000 x2
2 Ba 0.500 0.000 0.250 x2
3 Zn 0.000 0.000 0.737 x2
4 Br 0.500 0.000 0.508 x2

Record 3
Crystalline BaFeCl4 at its relaxed geometry, computed with PBE.

Results
As for the energy relative to the lowest polymorph listed for this composition: 1450 meV/atom. The raw total energy comes out at -74.81 eV for the cell shown. The uncorrected formation energy is -0.155 eV/atom. The volume comes out at 27.19 A^3/atom.

Unit cell a=8.674 b=8.674 c=8.674 alpha=90.00 beta=90.00 gamma=90.00
Space group F-43m (No. 216)
One atom of each set of equivalent atoms:
1 Ba 0.000 0.000 0.000 x4
2 Fe 0.250 0.250 0.250 x4
3 Cl 0.125 0.125 0.625 x16

Record 4
Crystalline Pm2Ho3Er8 at its relaxed geometry, computed with PBE.

Results
The raw total energy comes out at -113.09 eV for the cell shown. The volume comes out at 32.93 A^3/atom.

Unit cell a=20.595 b=7.551 c=5.504 alpha=90.00 beta=90.02 gamma=90.00
Space group C2/m (No. 12)
One atom of each set of equivalent atoms:
1 Pm 0.241 0.000 0.499 x4
2 Ho 0.000 0.000 0.500 x2
3 Ho 0.000 0.286 0.000 x4
4 Er 0.107 0.286 0.500 x8
5 Er 0.129 0.000 0.000 x4
6 Er 0.162 0.500 0.000 x4

Record 5
Crystalline SmThGaOs at its relaxed geometry, computed with PBE.

Results
As for the energy relative to the lowest polymorph listed for this composition: 221 meV/atom. The raw total energy comes out at -109.38 eV for the cell shown. The volume comes out at 23.29 A^3/atom.

Unit cell a=7.196 b=7.196 c=7.196 alpha=90.00 beta=90.00 gamma=90.00
Space group F-43m (No. 216)
One atom of each set of equivalent atoms:
1 Sm 0.000 0.000 0.000 x4
2 Th 0.000 0.000 0.500 x4
3 Ga 0.250 0.250 0.750 x4
4 Os 0.250 0.250 0.250 x4

Record 6
Crystalline Dy2Al3Ag5 at its relaxed geometry, computed with PBE.

Results
As for the energy relative to the lowest polymorph listed for this composition: 0 meV/atom. The raw total energy comes out at -149.35 eV for the cell shown. The volume comes out at 19.99 A^3/atom.

Unit cell a=4.561 b=25.157 c=6.969 alpha=90.00 beta=90.00 gamma=90.00
Space group Cmc2_1 (No. 36)
One atom of each set of equivalent atoms:
1 Dy 0.000 0.014 0.000 x4
2 Dy 0.000 0.325 0.021 x4
3 Al 0.000 0.104 0.695 x4
4 Al 0.000 0.272 0.558 x4
5 Al 0.000 0.446 0.799 x4
6 Ag 0.000 0.106 0.299 x4
7 Ag 0.000 0.200 0.847 x4
8 Ag 0.000 0.217 0.249 x4
9 Ag 0.000 0.375 0.503 x4
10 Ag 0.000 0.450 0.197 x4

Record 7
Crystalline Sc6Al16Ir7 at its relaxed geometry, computed with PBE.

Results
The raw total energy comes out at -740.18 eV for the cell shown. The volume comes out at 16.32 A^3/atom.

Unit cell a=12.369 b=12.369 c=12.369 alpha=90.00 beta=90.00 gamma=90.00
Space group Fm-3m (No. 225)
One atom of each set of equivalent atoms:
1 Sc 0.000 0.000 0.207 x24
2 Al 0.120 0.120 0.380 x32
3 Al 0.165 0.165 0.165 x32
4 Ir 0.000 0.000 0.500 x4
5 Ir 0.000 0.250 0.250 x24

Record 8
Crystalline KZnBiAu3 at its relaxed geometry, computed with PBE.

Results
The raw total energy comes out at -67.29 eV for the cell shown. The volume comes out at 27.77 A^3/atom.

Unit cell a=7.316 b=12.635 c=7.227 alpha=90.00 beta=93.79 gamma=90.00
Space group C2/c (No. 15)
One atom of each set of equivalent atoms:
1 K 0.000 0.240 0.250 x4
2 Zn 0.000 0.492 0.750 x4
3 Bi 0.000 0.060 0.750 x4
4 Au 0.000 0.286 0.750 x4
5 Au 0.223 0.435 0.516 x8

Record 9
Crystalline Y3HCl at its relaxed geometry, computed with PBE.

Results
As for the energy relative to the lowest polymorph listed for this composition: 0 meV/atom. The raw total energy comes out at -25.35 eV for the cell shown. The volume comes out at 23.18 A^3/atom.

Unit cell a=4.875 b=4.875 c=4.875 alpha=90.00 beta=90.00 gamma=90.00
Space group Pm-3m (No. 221)
One atom of each set of equivalent atoms:
1 Y 0.000 0.000 0.500 x3
2 H 0.000 0.000 0.000 x1
3 Cl 0.500 0.500 0.500 x1

Record 10
Crystalline Dy2Al3Au4 at its relaxed geometry, computed with PBE.

Results
As for the energy relative to the lowest polymorph listed for this composition: 0 meV/atom. The raw total energy comes out at -79.75 eV for the cell shown. The volume comes out at 19.62 A^3/atom.

Unit cell a=6.712 b=7.566 c=7.308 alpha=90.00 beta=107.93 gamma=90.00
Space group P2_1/c (No. 14)
One atom of each set of equivalent atoms:
1 Dy 0.190 0.194 0.057 x4
2 Al 0.237 0.596 0.241 x4
3 Al 0.500 0.000 0.500 x2
4 Au 0.116 0.584 0.829 x4
5 Au 0.449 0.653 0.621 x4

Record 11
Crystalline Ac3Fe5N12 at its relaxed geometry, computed with PBE.

Results
The raw total energy comes out at -1252.06 eV for the cell shown. The uncorrected formation energy is -0.098 eV/atom. The volume comes out at 12.60 A^3/atom.

Unit cell a=12.632 b=12.632 c=12.632 alpha=90.00 beta=90.00 gamma=90.00
Space group Ia-3d (No. 230)
One atom of each set of equivalent atoms:
1 Ac 0.000 0.250 0.125 x24
2 Fe 0.000 0.000 0.000 x16
3 Fe 0.000 0.250 0.375 x24
4 N 0.039 0.148 0.959 x96

Record 12
Crystalline LaTb2Pd2 at its relaxed geometry, computed with PBE.

Results
As for the energy relative to the lowest polymorph listed for this composition: 48 meV/atom. The raw total energy comes out at -55.28 eV for the cell shown. The volume comes out at 27.31 A^3/atom.

Unit cell a=6.411 b=7.097 c=7.749 alpha=116.29 beta=90.10 gamma=116.80
Space group P-1 (No. 2)
One atom of each set of equivalent atoms:
1 La 0.128 0.001 0.251 x2
2 Tb 0.220 0.585 0.699 x2
3 Tb 0.365 0.585 0.198 x2
4 Pd 0.251 0.879 0.538 x2
5 Pd 0.371 0.121 0.962 x2